DFT (PBE-GGA) results for NpH2Pd after structural relaxation.

Output
The value obtained for the total magnetization is 9.75 μB per cell. For the total energy, the calculation gives -74.66 eV/cell. The value obtained for the energy above the most stable polymorph in this dataset is 0 meV/atom.

Lattice parameters (Å, degrees): 2.9502 2.9502 18.7710 90.00 90.00 120.00
Last column: nearest neighbours and their distance in Å.
Space group R-3m (No. 166, hexagonal axes)
Symmetry-distinct sites (fractional):
1 Np 0.0000 0.0000 0.0000 x3  6 H 2.23
2 H 0.0000 0.0000 0.4099 x6  1 Pd 1.69
3 Pd 0.0000 0.0000 0.5000 x3  2 H 1.69


DFT (PBE-GGA) results for NpH2Pd after structural relaxation.

Output
The value obtained for the total magnetization is 4.38 μB per cell. For the total energy, the calculation gives -24.35 eV/cell. The value obtained for the energy above the most stable polymorph in this dataset is 135 meV/atom.

Lattice parameters (Å, degrees): 4.1223 4.1223 2.7597 90.00 90.00 90.00
Last column: nearest neighbours and their distance in Å.
Space group P4/mmm (No. 123)
Symmetry-distinct sites (fractional):
1 Np 0.0000 0.0000 0.0000 x1  8 H 2.48, 2 Np 2.76
2 H 0.0000 0.5000 0.5000 x2  4 Np 2.48, 4 Pd 2.48, 2 H 2.76
3 Pd 0.5000 0.5000 0.0000 x1  8 H 2.48, 2 Pd 2.76


DFT (PBE-GGA) results for NpH6Pd2Pt2 after structural relaxation.

Output
The value obtained for the total magnetization is 3.81 μB per cell. For the total energy, the calculation gives -56.89 eV/cell.

Lattice parameters (Å, degrees): 4.4635 5.4601 5.6282 75.21 89.96 66.00
Last column: nearest neighbours and their distance in Å.
Space group P-1 (No. 2)
Symmetry-distinct sites (fractional):
1 Np 0.0000 0.0000 0.0000 x1  4 H 2.52-2.53
2 H 0.1076 0.2993 0.4002 x2  1 Pt 1.74, 2 Pd 1.94
3 H 0.4091 0.7010 0.5991 x2  1 Pt 1.74, 1 Pd 1.93
4 H 0.4981 0.0076 0.7896 x2  1 Pd 1.78, 1 Pt 1.80
5 Pd 0.3114 0.3757 0.6596 x2  5 H 1.78-1.95
6 Pt 0.3170 0.3668 0.1487 x2  3 H 1.74-1.80


DFT (PBE-GGA) results for NpH8Pd4Pt after structural relaxation.

Output
The value obtained for the total magnetization is 13.95 μB per cell. For the total energy, the calculation gives -201.12 eV/cell.

Lattice parameters (Å, degrees): 5.7840 5.7840 14.3234 90.00 90.00 120.00
Last column: nearest neighbours and their distance in Å.
Space group R3m (No. 160, hexagonal axes)
Symmetry-distinct sites (fractional):
1 Np 0.0000 0.0000 0.0000 x3  4 H 2.22-2.24
2 H 0.0000 0.0000 0.1553 x3  3 Pd 1.85
3 H 0.0000 0.0000 0.6151 x3  4 Pd 1.91-1.96
4 H 0.0248 0.5124 0.1207 x9  3 Pd 1.88-2.02, 1 Pt 1.90
5 H 0.2122 0.4245 0.9518 x9  1 Pt 1.79, 2 Pd 1.88
6 Pd 0.0000 0.0000 0.7487 x3  4 H 1.88-1.91
7 Pd 0.1696 0.3392 0.2070 x9  6 H 1.85-2.02
8 Pt 0.0000 0.0000 0.3769 x3  6 H 1.79-1.90


DFT (PBE-GGA) results for NpH8PdPt2 after structural relaxation.

Output
The value obtained for the total magnetization is 3.65 μB per cell. For the total energy, the calculation gives -57.14 eV/cell.

Lattice parameters (Å, degrees): 4.9022 4.9022 6.1148 90.00 90.00 120.00
Last column: nearest neighbours and their distance in Å.
Space group P-3m1 (No. 164)
Symmetry-distinct sites (fractional):
1 Np 0.0000 0.0000 0.0000 x1  6 H 2.47
2 H 0.1692 0.3383 0.3277 x6  1 Pd 1.78, 1 Pt 1.79
3 H 0.3333 0.6667 0.8756 x2  1 Pt 1.64
4 Pd 0.0000 0.0000 0.5000 x1  6 H 1.78
5 Pt 0.3333 0.6667 0.1439 x2  4 H 1.64-1.79


DFT (PBE-GGA) results for NpH6PdPt after structural relaxation.

Output
The value obtained for the total magnetization is 4.12 μB per cell. For the total energy, the calculation gives -45.27 eV/cell.

Lattice parameters (Å, degrees): 4.7653 4.7653 4.2432 90.00 90.00 120.00
Last column: nearest neighbours and their distance in Å.
Space group P-6m2 (No. 187)
Symmetry-distinct sites (fractional):
1 Np 0.0000 0.0000 0.0000 x1  12 H 2.56
2 H 0.5048 0.0096 0.2221 x6  1 Pt 1.78, 1 Pd 1.84, 1 H 1.88
3 Pd 0.3333 0.6667 0.5000 x1  6 H 1.84
4 Pt 0.6667 0.3333 0.5000 x1  6 H 1.78


DFT (PBE-GGA) results for NpH12Pd4Rh3 after structural relaxation.

Output
The value obtained for the total magnetization is 11.72 μB per cell. For the total energy, the calculation gives -290.57 eV/cell.

Lattice parameters (Å, degrees): 8.5233 8.5233 8.6166 90.00 90.00 120.00
Last column: nearest neighbours and their distance in Å.
Space group R32 (No. 155, hexagonal axes)
Symmetry-distinct sites (fractional):
1 Np 0.0000 0.0000 0.0000 x3  12 H 2.73-2.89
2 H 0.0000 0.5597 0.5000 x9  1 Pd 1.75, 2 Rh 1.85
3 H 0.0000 0.7981 0.5000 x9  1 Pd 1.72, 2 Rh 1.74
4 H 0.0698 0.1918 0.2702 x18  1 Rh 1.71, 1 Pd 1.80
5 Pd 0.0000 0.0000 0.5000 x3  3 H 1.72
6 Pd 0.0000 0.3541 0.5000 x9  3 H 1.75-1.80
7 Rh 0.0000 0.6199 0.0000 x9  6 H 1.71-1.85


DFT (PBE-GGA) results for NpH8Pd2Rh after structural relaxation.

Output
The value obtained for the total magnetization is 3.40 μB per cell. For the total energy, the calculation gives -56.94 eV/cell.

Lattice parameters (Å, degrees): 4.9675 4.9675 5.7767 90.00 90.00 120.00
Last column: nearest neighbours and their distance in Å.
Space group P-3m1 (No. 164)
Symmetry-distinct sites (fractional):
1 Np 0.0000 0.0000 0.0000 x1  6 H 2.43
2 H 0.1665 0.3330 0.3401 x6  1 Rh 1.70, 1 Pd 1.82
3 H 0.3333 0.6667 0.8635 x2  1 Pd 1.63
4 Pd 0.3333 0.6667 0.1464 x2  4 H 1.63-1.82
5 Rh 0.0000 0.0000 0.5000 x1  6 H 1.70


DFT (PBE-GGA) results for NpH6PdRu after structural relaxation.

Output
The value obtained for the total magnetization is 2.76 μB per cell. For the total energy, the calculation gives -47.84 eV/cell.

Lattice parameters (Å, degrees): 4.6703 4.6703 4.2246 90.00 90.00 120.00
Last column: nearest neighbours and their distance in Å.
Space group P-6m2 (No. 187)
Symmetry-distinct sites (fractional):
1 Np 0.0000 0.0000 0.0000 x1  12 H 2.51
2 H 0.5110 0.0221 0.2144 x6  1 Ru 1.74, 1 H 1.81, 1 Pd 1.88
3 Pd 0.3333 0.6667 0.5000 x1  6 H 1.88
4 Ru 0.6667 0.3333 0.5000 x1  6 H 1.74


DFT (PBE-GGA) results for NpH8Pd2Ru after structural relaxation.

Output
The value obtained for the total magnetization is 2.82 μB per cell. For the total energy, the calculation gives -57.90 eV/cell.

Lattice parameters (Å, degrees): 5.0363 5.0363 5.3543 90.00 90.00 120.00
Last column: nearest neighbours and their distance in Å.
Space group P-3m1 (No. 164)
Symmetry-distinct sites (fractional):
1 Np 0.0000 0.0000 0.0000 x1  6 H 2.54, 2 Ru 2.68
2 H 0.1818 0.3637 0.3713 x6  1 Ru 1.73, 1 Pd 1.80
3 H 0.3333 0.6667 0.8387 x2  1 Pd 1.63
4 Pd 0.3333 0.6667 0.1437 x2  4 H 1.63-1.80
5 Ru 0.0000 0.0000 0.5000 x1  6 H 1.73


DFT (PBE-GGA) results for Sr2NpH12Pd3 after structural relaxation.

Output
The value obtained for the total magnetization is 13.57 μB per cell. For the total energy, the calculation gives -228.84 eV/cell.

Lattice parameters (Å, degrees): 6.7599 6.7599 15.0504 90.00 90.00 120.00
Last column: nearest neighbours and their distance in Å.
Space group R-3m (No. 166, hexagonal axes)
Symmetry-distinct sites (fractional):
1 Sr 0.0000 0.0000 0.1163 x6  3 H 2.34
2 Np 0.0000 0.0000 0.5000 x3  6 H 2.24
3 H 0.0271 0.5136 0.8825 x18  1 Pd 1.77
4 H 0.0823 0.5412 0.3066 x18  2 Pd 1.81
5 Pd 0.0000 0.5000 0.0000 x9  6 H 1.77-1.81


DFT (PBE-GGA) results for Pm2NpH12Ru3 after structural relaxation.

Output
The value obtained for the total magnetization is 14.76 μB per cell. For the total energy, the calculation gives -283.43 eV/cell.

Lattice parameters (Å, degrees): 6.3989 6.3989 14.5729 90.00 90.00 120.00
Last column: nearest neighbours and their distance in Å.
Space group R-3m (No. 166, hexagonal axes)
Symmetry-distinct sites (fractional):
1 Pm 0.0000 0.0000 0.1144 x6  6 H 2.19-2.44
2 Np 0.0000 0.0000 0.5000 x3  6 H 2.23
3 H 0.0400 0.5200 0.3079 x18  2 Ru 1.79
4 H 0.0457 0.5229 0.8839 x18  1 Ru 1.71
5 Ru 0.0000 0.5000 0.0000 x9  6 H 1.71-1.79


no.,V (Å³ per atom)
1,11.8
2,11.7
3,10.9
4,9.9
5,10.6
6,9.3
7,9.0
8,10.3
9,8.9
10,9.8
11,11.0
12,9.6